Entry 1:
First-principles (PBE-GGA) data for crystalline La2BeTeH at its relaxed geometry, as listed in Alexandria.

Cell: 4.7073 4.7073 5.1049 Å, 90.00 90.00 90.00°
Space group P4/mmm (No. 123)
Inequivalent atoms, fractional coordinates:
1 La 0.0000 0.5000 0.0000 x2
2 Be 0.0000 0.0000 0.5000 x1
3 Te 0.5000 0.5000 0.5000 x1
4 H 0.5000 0.5000 0.0000 x1

Properties
The value obtained for the total energy is -4.20 eV/atom. Its calculated volume is 113.1 Å³ per cell.

Entry 2:
First-principles (PBE-GGA) data for crystalline La2BeTlH at its relaxed geometry, as listed in Alexandria.

Cell: 5.3725 5.3725 3.8615 Å, 90.00 90.00 90.00°
Space group P4/mmm (No. 123)
Inequivalent atoms, fractional coordinates:
1 La 0.0000 0.5000 0.0000 x2
2 Be 0.0000 0.0000 0.5000 x1
3 Tl 0.5000 0.5000 0.5000 x1
4 H 0.0000 0.0000 0.0000 x1

Properties
The value obtained for the total energy is -3.99 eV/atom. Its calculated volume is 111.5 Å³ per cell.

Entry 3:
First-principles (PBE-GGA) data for crystalline La2BeHW at its relaxed geometry, as listed in Alexandria.

Cell: 5.0858 5.0858 3.6876 Å, 90.00 90.00 90.00°
Space group P4/mmm (No. 123)
Inequivalent atoms, fractional coordinates:
1 La 0.0000 0.5000 0.0000 x2
2 Be 0.0000 0.0000 0.5000 x1
3 H 0.0000 0.0000 0.0000 x1
4 W 0.5000 0.5000 0.5000 x1

Properties
The value obtained for the total energy is -5.59 eV/atom. Its calculated volume is 95.4 Å³ per cell.

Entry 4:
First-principles (PBE-GGA) data for crystalline La2YBeH at its relaxed geometry, as listed in Alexandria.

Cell: 5.5146 5.5146 5.2046 Å, 90.00 90.00 90.00°
Space group P4/mmm (No. 123)
Inequivalent atoms, fractional coordinates:
1 La 0.0000 0.5000 0.0000 x2
2 Y 0.0000 0.0000 0.5000 x1
3 Be 0.0000 0.0000 0.0000 x1
4 H 0.5000 0.5000 0.5000 x1

Properties
The value obtained for the total energy is -3.96 eV/atom. Its calculated volume is 158.3 Å³ per cell.

Entry 5:
First-principles (PBE-GGA) data for crystalline Li3Be2H7 at its relaxed geometry, as listed in Alexandria.

Cell: 3.0791 2.7066 12.1678 Å, 90.00 97.26 90.00°
Space group P2/m (No. 10)
Inequivalent atoms, fractional coordinates:
1 Li 0.0000 0.0000 0.0000 x1
2 Li 0.3088 0.5000 0.6195 x2
3 Be 0.1360 0.0000 0.2704 x2
4 H 0.1103 0.5000 0.2181 x2
5 H 0.2004 0.0000 0.3990 x2
6 H 0.3622 0.0000 0.7265 x2
7 H 0.5000 0.5000 0.0000 x1

Properties
The value obtained for the total energy is -3.16 eV/atom. Its calculated volume is 100.6 Å³ per cell.

Entry 6:
First-principles (PBE-GGA) data for crystalline LiBeH3 at its relaxed geometry, as listed in Alexandria.

Cell: 3.1412 3.1412 3.1412 Å, 90.00 90.00 90.00°
Space group Pm-3m (No. 221)
Inequivalent atoms, fractional coordinates:
1 Li 0.0000 0.0000 0.0000 x1
2 Be 0.5000 0.5000 0.5000 x1
3 H 0.0000 0.0000 0.5000 x3

Properties
Its calculated volume is 31.0 Å³ per cell. As for the energy above the most stable polymorph in this dataset: 849 meV/atom.